No. 1
Below is a relaxed HoEr2Ag crystal, with properties calculated at the PBE-GGA level.

Summary:
**Crystal system**: tetragonal
**Energy relative to the elements**: 0.008 eV per atom
**Space group**: P4/mmm (123)

a b c (Å): 5.356 5.356 3.734
angles (deg): 90.00 90.00 90.00
Fractional positions:
1 Ho 0.000 0.000 0.000
2 Er 0.000 0.500 0.500
3 Er 0.500 0.000 0.500
4 Ag 0.500 0.500 0.000

No. 2
Below is a relaxed HoErAg4 crystal, with properties calculated at the PBE-GGA level.

Summary:
**Crystal system**: monoclinic
**Energy relative to the elements**: -0.320 eV per atom
**Space group**: C2/m (12)

a b c (Å): 5.312 5.312 5.263
angles (deg): 90.82 90.82 120.57
Fractional positions:
1 Ho 0.000 0.000 0.000
2 Er 0.500 0.500 0.500
3 Ag 0.169 0.831 0.500
4 Ag 0.331 0.669 0.000
5 Ag 0.669 0.331 0.000
6 Ag 0.831 0.169 0.500

No. 3
Below is a relaxed Ho2ErAg2 crystal, with properties calculated at the PBE-GGA level.

Summary:
**Crystal system**: orthorhombic
**Energy relative to the elements**: -0.130 eV per atom
**Space group**: Cmc2_1 (36)

a b c (Å): 7.510 7.510 9.833
angles (deg): 90.00 90.00 151.39
Fractional positions:
1 Ho 0.109 0.891 0.500
2 Ho 0.295 0.705 0.728
3 Ho 0.705 0.295 0.228
4 Ho 0.891 0.109 0.000
5 Er 0.419 0.581 0.340
6 Er 0.581 0.419 0.840
7 Ag 0.048 0.952 0.179
8 Ag 0.216 0.784 0.998
9 Ag 0.784 0.216 0.498
10 Ag 0.952 0.048 0.679

No. 4
Below is a relaxed HoEr2Ag crystal, with properties calculated at the PBE-GGA level.

Summary:
**Crystal system**: trigonal
**Energy relative to the elements**: -0.014 eV per atom
**Space group**: R3m (160)

a b c (Å): 10.452 10.452 10.452
angles (deg): 19.60 19.60 19.60
Fractional positions:
1 Ho 0.000 0.000 0.000
2 Er 0.242 0.242 0.242
3 Er 0.425 0.425 0.425
4 Ag 0.833 0.833 0.833

No. 5
Below is a relaxed Ho3ErAg crystal, with properties calculated at the PBE-GGA level.

Summary:
**Crystal system**: monoclinic
**Energy relative to the elements**: -0.009 eV per atom
**Space group**: C2/m (12)

a b c (Å): 6.636 6.636 7.691
angles (deg): 107.61 107.61 67.76
Fractional positions:
1 Ho 0.058 0.058 0.240
2 Ho 0.087 0.587 0.351
3 Ho 0.413 0.913 0.649
4 Ho 0.587 0.087 0.351
5 Ho 0.913 0.413 0.649
6 Ho 0.942 0.942 0.760
7 Er 0.441 0.441 0.759
8 Er 0.559 0.559 0.241
9 Ag 0.252 0.252 0.000
10 Ag 0.748 0.748 0.000

No. 6
Below is a relaxed HoEr2Ag2 crystal, with properties calculated at the PBE-GGA level.

Summary:
**Crystal system**: monoclinic
**Energy relative to the elements**: -0.248 eV per atom
**Space group**: P2_1/m (11)

a b c (Å): 3.600 5.208 13.442
angles (deg): 90.00 97.69 90.00
Fractional positions:
1 Ho 0.146 0.250 0.291
2 Ho 0.854 0.750 0.709
3 Er 0.047 0.750 0.095
4 Er 0.235 0.750 0.469
5 Er 0.765 0.250 0.531
6 Er 0.953 0.250 0.905
7 Ag 0.358 0.250 0.716
8 Ag 0.453 0.750 0.906
9 Ag 0.547 0.250 0.094
10 Ag 0.642 0.750 0.284

No. 7
Below is a relaxed HoEr3Ag4 crystal, with properties calculated at the PBE-GGA level.

Summary:
**Crystal system**: orthorhombic
**Energy relative to the elements**: -0.332 eV per atom
**Space group**: Pmmm (47)

a b c (Å): 3.576 5.127 10.252
angles (deg): 90.00 90.00 90.00
Fractional positions:
1 Ho 0.000 0.000 0.000
2 Er 0.000 0.000 0.500
3 Er 0.000 0.500 0.250
4 Er 0.000 0.500 0.750
5 Ag 0.500 0.000 0.251
6 Ag 0.500 0.000 0.749
7 Ag 0.500 0.500 0.000
8 Ag 0.500 0.500 0.500

No. 8
Below is a relaxed HoEr2Ag crystal, with properties calculated at the PBE-GGA level.

Summary:
**Crystal system**: tetragonal
**Energy relative to the elements**: -0.135 eV per atom
**Space group**: P4/mmm (123)

a b c (Å): 3.527 3.527 8.802
angles (deg): 90.00 90.00 90.00
Fractional positions:
1 Ho 0.000 0.000 0.000
2 Er 0.500 0.500 0.284
3 Er 0.500 0.500 0.716
4 Ag 0.000 0.000 0.500

No. 9
Below is a relaxed HoEr2Ag2 crystal, with properties calculated at the PBE-GGA level.

Summary:
**Crystal system**: monoclinic
**Energy relative to the elements**: -0.162 eV per atom
**Space group**: P2_1/m (11)

a b c (Å): 6.302 4.988 8.102
angles (deg): 90.00 95.99 90.00
Fractional positions:
1 Ho 0.187 0.250 0.247
2 Ho 0.813 0.750 0.753
3 Er 0.339 0.750 0.946
4 Er 0.401 0.250 0.643
5 Er 0.599 0.750 0.357
6 Er 0.661 0.250 0.054
7 Ag 0.070 0.250 0.886
8 Ag 0.136 0.750 0.481
9 Ag 0.864 0.250 0.519
10 Ag 0.930 0.750 0.114

No. 10
Below is a relaxed Ho2ErIn2Ag2 crystal, with properties calculated at the PBE-GGA level.

Summary:
**Crystal system**: trigonal
**Energy relative to the elements**: -0.263 eV per atom
**Space group**: R-3m (166)

a b c (Å): 9.278 9.278 9.278
angles (deg): 30.13 30.13 30.13
Fractional positions:
1 Ho 0.126 0.126 0.126
2 Ho 0.874 0.874 0.874
3 Er 0.000 0.000 0.000
4 In 0.260 0.260 0.260
5 In 0.740 0.740 0.740
6 Ag 0.395 0.395 0.395
7 Ag 0.605 0.605 0.605

No. 11
Below is a relaxed HoErLuAg crystal, with properties calculated at the PBE-GGA level.

Summary:
**Crystal system**: cubic
**Energy relative to the elements**: 0.042 eV per atom
**Space group**: F-43m (216)

a b c (Å): 5.310 5.310 5.310
angles (deg): 60.00 60.00 60.00
Fractional positions:
1 Ho 0.000 0.000 0.000
2 Er 0.500 0.500 0.500
3 Lu 0.750 0.750 0.750
4 Ag 0.250 0.250 0.250

No. 12
Below is a relaxed NdHoErAg crystal, with properties calculated at the PBE-GGA level.

Summary:
**Crystal system**: cubic
**Energy relative to the elements**: 0.061 eV per atom
**Space group**: F-43m (216)

a b c (Å): 5.414 5.414 5.414
angles (deg): 60.00 60.00 60.00
Fractional positions:
1 Nd 0.000 0.000 0.000
2 Ho 0.500 0.500 0.500
3 Er 0.250 0.250 0.250
4 Ag 0.750 0.750 0.750

No. 13
Below is a relaxed NdHoErAg crystal, with properties calculated at the PBE-GGA level.

Summary:
**Crystal system**: tetragonal
**Energy relative to the elements**: -0.135 eV per atom
**Space group**: P4mm (99)

a b c (Å): 3.627 3.627 8.620
angles (deg): 90.00 90.00 90.00
Fractional positions:
1 Nd 0.000 0.000 0.000
2 Ho 0.500 0.500 0.706
3 Er 0.500 0.500 0.293
4 Ag 0.000 0.000 0.497

No. 14
Below is a relaxed HoErNiAg crystal, with properties calculated at the PBE-GGA level.

Summary:
**Crystal system**: cubic
**Energy relative to the elements**: -0.331 eV per atom
**Space group**: F-43m (216)

a b c (Å): 4.937 4.937 4.937
angles (deg): 60.00 60.00 60.00
Fractional positions:
1 Ho 0.000 0.000 0.000
2 Er 0.500 0.500 0.500
3 Ni 0.250 0.250 0.250
4 Ag 0.750 0.750 0.750

No. 15
Below is a relaxed HoErAgOs crystal, with properties calculated at the PBE-GGA level.

Summary:
**Crystal system**: cubic
**Energy relative to the elements**: -0.306 eV per atom
**Space group**: F-43m (216)

a b c (Å): 4.916 4.916 4.916
angles (deg): 60.00 60.00 60.00
Fractional positions:
1 Ho 0.000 0.000 0.000
2 Er 0.500 0.500 0.500
3 Ag 0.750 0.750 0.750
4 Os 0.250 0.250 0.250

No. 16
Below is a relaxed HoErAgOs crystal, with properties calculated at the PBE-GGA level.

Summary:
**Crystal system**: tetragonal
**Energy relative to the elements**: -0.349 eV per atom
**Space group**: P4mm (99)

a b c (Å): 3.386 3.386 7.554
angles (deg): 90.00 90.00 90.00
Fractional positions:
1 Ho 0.000 0.000 0.000
2 Er 0.000 0.000 0.560
3 Ag 0.500 0.500 0.282
4 Os 0.500 0.500 0.779

No. 17
Below is a relaxed HoErAgPb crystal, with properties calculated at the PBE-GGA level.

Summary:
**Crystal system**: cubic
**Energy relative to the elements**: -0.374 eV per atom
**Space group**: F-43m (216)

a b c (Å): 5.250 5.250 5.250
angles (deg): 60.00 60.00 60.00
Fractional positions:
1 Ho 0.000 0.000 0.000
2 Er 0.500 0.500 0.500
3 Ag 0.250 0.250 0.250
4 Pb 0.750 0.750 0.750

No. 18
Below is a relaxed PmHoErAg crystal, with properties calculated at the PBE-GGA level.

Summary:
**Crystal system**: tetragonal
**Energy relative to the elements**: -0.137 eV per atom
**Space group**: P4mm (99)

a b c (Å): 3.601 3.601 8.705
angles (deg): 90.00 90.00 90.00
Fractional positions:
1 Pm 0.000 0.000 0.000
2 Ho 0.500 0.500 0.708
3 Er 0.500 0.500 0.291
4 Ag 0.000 0.000 0.497

No. 19
Below is a relaxed PmHoErAg crystal, with properties calculated at the PBE-GGA level.

Summary:
**Crystal system**: cubic
**Energy relative to the elements**: 0.100 eV per atom
**Space group**: F-43m (216)

a b c (Å): 5.387 5.387 5.387
angles (deg): 60.00 60.00 60.00
Fractional positions:
1 Pm 0.000 0.000 0.000
2 Ho 0.250 0.250 0.250
3 Er 0.750 0.750 0.750
4 Ag 0.500 0.500 0.500

No. 20
Below is a relaxed HoErAgRh crystal, with properties calculated at the PBE-GGA level.

Summary:
**Crystal system**: tetragonal
**Energy relative to the elements**: -0.619 eV per atom
**Space group**: P4mm (99)

a b c (Å): 3.483 3.483 7.147
angles (deg): 90.00 90.00 90.00
Fractional positions:
1 Ho 0.000 0.000 0.000
2 Er 0.000 0.000 0.542
3 Ag 0.500 0.500 0.273
4 Rh 0.500 0.500 0.769

No. 21
Below is a relaxed HoErAgRh crystal, with properties calculated at the PBE-GGA level.

Summary:
**Crystal system**: cubic
**Energy relative to the elements**: -0.599 eV per atom
**Space group**: F-43m (216)

a b c (Å): 4.954 4.954 4.954
angles (deg): 60.00 60.00 60.00
Fractional positions:
1 Ho 0.000 0.000 0.000
2 Er 0.500 0.500 0.500
3 Ag 0.250 0.250 0.250
4 Rh 0.750 0.750 0.750

No. 22
Below is a relaxed HoEr4AgS8 crystal, with properties calculated at the PBE-GGA level.

Summary:
**Crystal system**: trigonal
**Space group**: R3m (160)
**Raw formation energy**: -25.669 eV/f.u.

a b c (Å): 7.972 7.972 7.972
angles (deg): 59.92 59.92 59.92
Fractional positions:
1 Ho 0.000 0.000 0.000
2 Er 0.000 0.000 0.483
3 Er 0.000 0.483 0.000
4 Er 0.483 0.000 0.000
5 Er 0.621 0.621 0.621
6 Ag 0.370 0.370 0.370
7 S 0.221 0.753 0.753
8 S 0.238 0.238 0.238
9 S 0.238 0.238 0.769
10 S 0.238 0.769 0.238
11 S 0.753 0.221 0.753
12 S 0.753 0.753 0.221
13 S 0.754 0.754 0.754
14 S 0.769 0.238 0.238

No. 23
Below is a relaxed HoErScAg crystal, with properties calculated at the PBE-GGA level.

Summary:
**Crystal system**: tetragonal
**Energy relative to the elements**: -0.118 eV per atom
**Space group**: P4mm (99)

a b c (Å): 3.489 3.489 8.472
angles (deg): 90.00 90.00 90.00
Fractional positions:
1 Ho 0.000 0.000 0.000
2 Er 0.000 0.000 0.544
3 Sc 0.500 0.500 0.273
4 Ag 0.500 0.500 0.769

No. 24
Below is a relaxed HoErScAg crystal, with properties calculated at the PBE-GGA level.

Summary:
**Crystal system**: cubic
**Energy relative to the elements**: 0.028 eV per atom
**Space group**: F-43m (216)

a b c (Å): 5.233 5.233 5.233
angles (deg): 60.00 60.00 60.00
Fractional positions:
1 Ho 0.000 0.000 0.000
2 Er 0.500 0.500 0.500
3 Sc 0.750 0.750 0.750
4 Ag 0.250 0.250 0.250

No. 25
Below is a relaxed HoEr2Ag3Se6 crystal, with properties calculated at the PBE-GGA level.

Summary:
**Crystal system**: monoclinic
**Space group**: C2/m (12)
**Raw formation energy**: -13.921 eV/f.u.

a b c (Å): 9.086 9.086 8.057
angles (deg): 100.70 100.70 26.36
Fractional positions:
1 Ho 0.000 0.000 0.000
2 Er 0.333 0.333 0.666
3 Er 0.667 0.667 0.334
4 Ag 0.000 0.000 0.500
5 Ag 0.334 0.334 0.166
6 Ag 0.666 0.666 0.834
7 Se 0.165 0.165 0.087
8 Se 0.169 0.169 0.580
9 Se 0.498 0.498 0.752
10 Se 0.502 0.502 0.248
11 Se 0.831 0.831 0.420
12 Se 0.835 0.835 0.913

No. 26
Below is a relaxed HoErSiAg crystal, with properties calculated at the PBE-GGA level.

Summary:
**Crystal system**: cubic
**Space group**: F-43m (216)
**Raw formation energy**: -1.759 eV/f.u.

a b c (Å): 5.013 5.013 5.013
angles (deg): 60.00 60.00 60.00
Fractional positions:
1 Ho 0.000 0.000 0.000
2 Er 0.500 0.500 0.500
3 Si 0.750 0.750 0.750
4 Ag 0.250 0.250 0.250

No. 27
Below is a relaxed SmHoErAg crystal, with properties calculated at the PBE-GGA level.

Summary:
**Crystal system**: cubic
**Energy relative to the elements**: 0.059 eV per atom
**Space group**: F-43m (216)

a b c (Å): 5.389 5.389 5.389
angles (deg): 60.00 60.00 60.00
Fractional positions:
1 Sm 0.000 0.000 0.000
2 Ho 0.500 0.500 0.500
3 Er 0.750 0.750 0.750
4 Ag 0.250 0.250 0.250

No. 28
Below is a relaxed SmHoErAg crystal, with properties calculated at the PBE-GGA level.

Summary:
**Crystal system**: tetragonal
**Energy relative to the elements**: -0.135 eV per atom
**Space group**: P4mm (99)

a b c (Å): 3.575 3.575 8.811
angles (deg): 90.00 90.00 90.00
Fractional positions:
1 Sm 0.000 0.000 0.000
2 Ho 0.500 0.500 0.709
3 Er 0.500 0.500 0.290
4 Ag 0.000 0.000 0.497

Calculated total moment, 0.00, 0.00, 0.00, 0.08, 0.00, 0.00, 0.00, 0.00, 0.00, 0.00, 0.00, 0.00, 0.00, 0.00, 0.00, 0.00, 0.53, 0.00, 0.00, 0.00, 0.00, 0.00, 0.00, 0.00, 0.00, 0.00, 0.00, 0.00 μB/f.u. (same order as the records).